[1]
Compound: CaZn8Ir4
Source: the Alexandria database
Functional: PBE-GGA
Structure: optimized geometry

Cell lengths 5.6209, 6.7361, 6.7361 Å; angles 79.98, 65.34, 65.34 degrees
Last column: nearest neighbours and their distance in Å.
Positions (direct):
Zn 0.2681 0.2319 0.2319  4 Ir 2.59, 4 Zn 2.76-2.84
Ir 0.0000 0.0000 0.5000  8 Zn 2.59-2.67, 2 Ir 2.81
Zn 0.0000 0.3270 0.6730  4 Ir 2.67, 4 Zn 2.76-2.93, 1 Ca 2.83
Ir 0.5000 0.5000 0.0000  8 Zn 2.59-2.67, 2 Ir 2.81
Zn 0.5000 0.7681 0.2319  4 Ir 2.59, 4 Zn 2.76-2.84
Ir 0.0000 0.5000 0.0000  8 Zn 2.59-2.67, 2 Ir 2.81
Zn 0.7319 0.7681 0.7681  4 Ir 2.59, 4 Zn 2.76-2.84
Zn 0.6730 0.3270 0.3270  4 Ir 2.67, 4 Zn 2.76-2.93, 1 Ca 2.83
Zn 0.5000 0.2319 0.7681  4 Ir 2.59, 4 Zn 2.76-2.84
Zn 0.0000 0.6730 0.3270  4 Ir 2.67, 4 Zn 2.76-2.93, 1 Ca 2.83
Zn 0.3270 0.6730 0.6730  4 Ir 2.67, 4 Zn 2.76-2.93, 1 Ca 2.83
Ca 0.0000 0.0000 0.0000  4 Zn 2.83
Ir 0.5000 0.0000 0.5000  8 Zn 2.59-2.67, 2 Ir 2.81

Space group ... I4/mmm, No. 139
Raw total energy ... -3.974 eV/atom
Calculated density ... 10.50 g cm⁻³
Total moment ... 0.00 μB/f.u.
Energy of formation from the pure elements ... -4.0 eV/f.u.

---

[2]
Compound: CdAg5Pd5
Source: the Alexandria database
Functional: PBE-GGA
Structure: optimized geometry

Cell lengths 5.6447, 6.6522, 7.6503 Å; angles 45.17, 92.85, 104.09 degrees
Last column: nearest neighbours and their distance in Å.
Positions (direct):
Pd 0.3011 0.0263 0.3025  4 Pd 2.71-2.82, 5 Ag 2.75-2.90, 1 Cd 2.88
Pd 0.0000 0.5000 0.5000  4 Pd 2.71-2.93, 2 Cd 2.78, 4 Ag 2.87-2.96
Pd 0.6534 0.4692 0.2163  4 Pd 2.76-2.93, 1 Cd 2.78, 6 Ag 2.85-3.08
Ag 0.8435 0.5023 0.8500  5 Ag 2.77-3.00, 5 Pd 2.80-2.89, 1 Cd 3.03
Cd 0.0000 0.0000 0.0000  6 Pd 2.78-2.88, 6 Ag 2.82-3.03
Ag 0.2289 0.0575 0.6379  6 Pd 2.77-3.08, 4 Ag 2.77-3.00, 1 Cd 2.85
Ag 0.7711 0.9425 0.3621  6 Pd 2.77-3.08, 4 Ag 2.77-3.00, 1 Cd 2.85
Ag 0.1565 0.4977 0.1500  5 Ag 2.77-3.00, 5 Pd 2.80-2.89, 1 Cd 3.03
Pd 0.6989 0.9737 0.6975  4 Pd 2.71-2.82, 5 Ag 2.75-2.90, 1 Cd 2.88
Ag 0.5000 0.0000 0.0000  4 Pd 2.75-3.01, 4 Ag 2.81-2.92, 2 Cd 2.82
Pd 0.3466 0.5308 0.7837  4 Pd 2.76-2.93, 1 Cd 2.78, 6 Ag 2.85-3.08

Space group ... P-1, No. 2
Raw total energy ... -3.735 eV/atom
Calculated density ... 10.11 g cm⁻³
Total moment ... 0.00 μB/f.u.
Energy of formation from the pure elements ... 0.1 eV/f.u.

---

[3]
Compound: Cd7Hg3
Source: the Alexandria database
Functional: PBE-GGA
Structure: optimized geometry

Cell lengths 4.9996, 4.0223, 11.8861 Å; angles 90.00, 84.10, 90.00 degrees
Last column: nearest neighbours and their distance in Å.
Positions (direct):
Cd 0.1987 0.0000 0.4023  9 Cd 2.93-3.22, 1 Hg 2.95
Cd 0.5104 0.5000 0.0010  7 Hg 2.93-3.24, 3 Cd 2.97-3.24
Cd 0.7028 0.5000 0.4001  8 Cd 2.94-3.22, 2 Hg 3.18
Cd 0.2958 0.5000 0.5983  1 Hg 2.94, 9 Cd 2.95-3.24
Hg 0.5992 0.0000 0.2024  9 Cd 2.95-3.23, 1 Hg 3.00
Cd 0.7891 0.0000 0.5971  8 Cd 2.93-3.24, 2 Hg 3.17
Hg 0.8876 0.5000 0.7952  8 Cd 2.93-3.23
Cd 0.3924 0.0000 0.7978  5 Hg 2.92-3.23, 5 Cd 2.94-3.24
Hg 0.0175 0.0000 0.0027  7 Cd 2.92-3.24, 1 Hg 3.00
Cd 0.1059 0.5000 0.2021  4 Cd 2.94-3.19, 6 Hg 3.17-3.23

Space group ... Pm, No. 6
Raw total energy ... -0.717 eV/atom
Calculated density ... 9.70 g cm⁻³
Total moment ... 0.00 μB/f.u.
Energy of formation from the pure elements ... 0.1 eV/f.u.

---

[4]
Compound: Pm3Sm4
Source: the Alexandria database
Functional: PBE-GGA
Structure: optimized geometry

Cell lengths 5.1440, 6.2994, 8.1400 Å; angles 82.63, 90.00, 114.10 degrees
Last column: nearest neighbours and their distance in Å.
Positions (direct):
Sm 0.4284 0.8568 0.7134  6 Sm 3.63-3.64, 6 Pm 3.64-3.65
Pm 0.0000 0.0000 0.0000  6 Pm 3.64, 6 Sm 3.64
Sm 0.1427 0.2855 0.5712  8 Sm 3.63-3.64, 4 Pm 3.64
Sm 0.8573 0.7145 0.4288  8 Sm 3.63-3.64, 4 Pm 3.64
Sm 0.5716 0.1432 0.2866  6 Sm 3.63-3.64, 6 Pm 3.64-3.65
Pm 0.7141 0.4283 0.8567  7 Sm 3.64-3.65, 5 Pm 3.64
Pm 0.2859 0.5717 0.1433  7 Sm 3.64-3.65, 5 Pm 3.64

Space group ... C2/m, No. 12
Raw total energy ... -4.720 eV/atom
Calculated density ... 7.22 g cm⁻³
Total moment ... 0.00 μB/f.u.
Energy of formation from the pure elements ... 0.1 eV/f.u.

---

[5]
Compound: ZrAl2SbC
Source: the Alexandria database
Functional: PBE-GGA
Structure: optimized geometry

Cell lengths 4.0135, 5.5848, 4.0135 Å; angles 90.00, 90.00, 90.00 degrees
Last column: nearest neighbours and their distance in Å.
Positions (direct):
Sb 0.0000 0.5000 0.0000  2 C 2.79, 4 Zr 2.84
Zr 0.5000 0.5000 0.5000  4 Sb 2.84
Al 0.0000 0.0000 0.5000  2 C 2.01
C 0.0000 0.0000 0.0000  4 Al 2.01
Al 0.5000 0.0000 0.0000  2 C 2.01

Space group ... P4/mmm, No. 123
Raw total energy ... -5.502 eV/atom
Calculated density ... 5.15 g cm⁻³
ΔE to the lowest computed polymorph ... 0.00 kcal/mol of atoms
Total moment ... 0.00 μB/f.u.
Formation energy from raw total energies ... 374 meV per atom

---

[6]
Compound: ThTaGe2
Source: the Alexandria database
Functional: PBE-GGA
Structure: optimized geometry

Cell lengths 4.0025, 4.0025, 6.8881 Å; angles 73.11, 73.11, 60.00 degrees
Last column: nearest neighbours and their distance in Å.
Positions (direct):
Ge 0.7362 0.7362 0.7913  3 Ta 2.68, 3 Th 2.99
Th 0.5000 0.5000 0.5000  6 Ge 2.99
Ge 0.2638 0.2638 0.2087  3 Ta 2.68, 3 Th 2.99
Ta 0.0000 0.0000 0.0000  6 Ge 2.68

Space group ... R-3m, No. 166
Raw total energy ... -7.502 eV/atom
Calculated density ... 10.30 g cm⁻³
ΔE to the lowest computed polymorph ... 0.00 kcal/mol of atoms
Total moment ... 0.00 μB/f.u.
Energy of formation from the pure elements ... -1.5 eV/f.u.

---

[7]
Compound: Nd4HoSc5
Source: the Alexandria database
Functional: PBE-GGA
Structure: optimized geometry

Cell lengths 3.5655, 3.5655, 22.8725 Å; angles 90.00, 90.00, 90.00 degrees
Last column: nearest neighbours and their distance in Å.
Positions (direct):
Sc 0.5000 0.5000 0.5000  8 Nd 3.41, 4 Sc 3.57
Sc 0.5000 0.5000 0.7015  8 Nd 3.41-3.42, 4 Sc 3.57
Nd 0.0000 0.0000 0.8020  8 Sc 3.41-3.42, 4 Nd 3.57
Nd 0.0000 0.0000 0.3994  8 Sc 3.41-3.42, 4 Nd 3.57
Ho 0.0000 0.0000 0.0000  8 Sc 3.36, 4 Ho 3.57
Sc 0.5000 0.5000 0.9031  4 Ho 3.36, 4 Nd 3.42, 4 Sc 3.57
Sc 0.5000 0.5000 0.2985  8 Nd 3.41-3.42, 4 Sc 3.57
Nd 0.0000 0.0000 0.1980  8 Sc 3.41-3.42, 4 Nd 3.57
Sc 0.5000 0.5000 0.0969  4 Ho 3.36, 4 Nd 3.42, 4 Sc 3.57
Nd 0.0000 0.0000 0.6006  8 Sc 3.41-3.42, 4 Nd 3.57

Space group ... P4/mmm, No. 123
Raw total energy ... -5.475 eV/atom
Calculated density ... 5.52 g cm⁻³
Total moment ... 0.00 μB/f.u.
Energy of formation from the pure elements ... 0.6 eV/f.u.

---

[8]
Compound: KTbCuF6
Source: the Alexandria database
Functional: PBE-GGA
Structure: optimized geometry

Cell lengths 5.7401, 5.7401, 11.0856 Å; angles 90.00, 90.00, 120.00 degrees
Last column: nearest neighbours and their distance in Å.
Positions (direct):
F 0.9811 0.6167 0.3528  1 Cu 2.07, 1 Tb 2.21
K 0.0000 0.0000 0.0000  6 F 2.70
F 0.0189 0.6356 0.8528  1 Cu 2.07, 1 Tb 2.21
Cu 0.3333 0.6667 0.7500  6 F 2.07
F 0.3644 0.9811 0.6472  1 Cu 2.07, 1 Tb 2.21
F 0.3833 0.3644 0.3528  1 Cu 2.07, 1 Tb 2.21
F 0.3833 0.0189 0.1472  1 Cu 2.07, 1 Tb 2.21
F 0.6356 0.0189 0.3528  1 Cu 2.07, 1 Tb 2.21
F 0.6167 0.6356 0.6472  1 Cu 2.07, 1 Tb 2.21
K 0.0000 0.0000 0.5000  6 F 2.70
F 0.3644 0.3833 0.8528  1 Cu 2.07, 1 Tb 2.21
F 0.6167 0.9811 0.8528  1 Cu 2.07, 1 Tb 2.21
F 0.0189 0.3833 0.6472  1 Cu 2.07, 1 Tb 2.21
Tb 0.6667 0.3333 0.7500  6 F 2.21
Tb 0.3333 0.6667 0.2500  6 F 2.21
Cu 0.6667 0.3333 0.2500  6 F 2.07
F 0.6356 0.6167 0.1472  1 Cu 2.07, 1 Tb 2.21
F 0.9811 0.3644 0.1472  1 Cu 2.07, 1 Tb 2.21

Space group ... P-31c, No. 163
Raw total energy ... -5.265 eV/atom
Calculated density ... 3.94 g cm⁻³
Total moment ... 1.00 μB/f.u.
Formation energy from raw total energies ... -2925 meV per atom

---

[9]
Compound: Rb3LiAg2F6
Source: the Alexandria database
Functional: PBE-GGA
Structure: optimized geometry

Cell lengths 6.3289, 6.3289, 6.9296 Å; angles 90.00, 90.00, 120.00 degrees
Last column: nearest neighbours and their distance in Å.
Positions (direct):
Li 0.0000 0.0000 0.5000  6 F 2.16
F 0.1568 0.8432 0.3107  1 Li 2.16, 1 Ag 2.24
F 0.6864 0.8432 0.3107  1 Li 2.16, 1 Ag 2.24
F 0.8432 0.6864 0.6893  1 Li 2.16, 1 Ag 2.24
Rb 0.0000 0.0000 0.0000  6 F 2.75
F 0.8432 0.1568 0.6893  1 Li 2.16, 1 Ag 2.24
Rb 0.3333 0.6667 0.6226  9 F 2.90-3.20
Ag 0.6667 0.3333 0.8527  3 F 2.24
Ag 0.3333 0.6667 0.1473  3 F 2.24
F 0.1568 0.3136 0.3107  1 Li 2.16, 1 Ag 2.24
F 0.3136 0.1568 0.6893  1 Li 2.16, 1 Ag 2.24
Rb 0.6667 0.3333 0.3774  9 F 2.90-3.20

Space group ... P-3m1, No. 164
Raw total energy ... -3.819 eV/atom
Calculated density ... 4.10 g cm⁻³
Total moment ... 0.00 μB/f.u.
Formation energy from raw total energies ... -2006 meV per atom

---

[10]
Compound: HfBPCl2
Source: the Alexandria database
Functional: PBE-GGA
Structure: optimized geometry

Cell lengths 4.9183, 4.9183, 5.1269 Å; angles 90.00, 90.00, 90.00 degrees
Last column: nearest neighbours and their distance in Å.
Positions (direct):
Cl 0.0000 0.5000 0.0000  2 Hf 2.46
Cl 0.5000 0.0000 0.0000  2 Hf 2.46
P 0.0000 0.0000 0.5000  2 Hf 2.56
B 0.5000 0.5000 0.5000  4 P 3.48, 8 Cl 3.55
Hf 0.0000 0.0000 0.0000  4 Cl 2.46, 2 P 2.56

Space group ... P4/mmm, No. 123
Raw total energy ... -4.837 eV/atom
Calculated density ... 3.90 g cm⁻³
ΔE to the lowest computed polymorph ... 0.00 kcal/mol of atoms
Total moment ... 0.00 μB/f.u.
Formation energy from raw total energies ... 310 meV per atom

---

[11]
Compound: TlSiAu
Source: the Alexandria database
Functional: PBE-GGA
Structure: optimized geometry

Cell lengths 4.2490, 4.2490, 4.6084 Å; angles 90.00, 90.00, 120.00 degrees
Last column: nearest neighbours and their distance in Å.
Positions (direct):
Tl 0.3333 0.6667 0.6665  6 Au 3.36-3.37, 6 Si 3.36-3.37
Au 0.0000 0.0000 0.1683  3 Si 2.45
Si 0.6667 0.3333 0.1652  3 Au 2.45

Space group ... P3m1, No. 156
Raw total energy ... -3.524 eV/atom
Calculated density ... 9.90 g cm⁻³
Total moment ... 0.00 μB/f.u.
Formation energy from raw total energies ... 164 meV per atom

---

[12]
Compound: LiDyGe2S6
Source: the Alexandria database
Functional: PBE-GGA
Structure: optimized geometry

Cell lengths 6.5657, 8.5496, 8.5496 Å; angles 85.47, 79.01, 79.01 degrees
Last column: nearest neighbours and their distance in Å.
Positions (direct):
Li 0.7500 0.7292 0.2708  4 S 2.51-2.74
S 0.1614 0.9700 0.8034  1 Ge 2.25
S 0.3929 0.8758 0.3901  1 Ge 2.20
Li 0.2500 0.2708 0.7292  4 S 2.51-2.74
S 0.4449 0.5638 0.7066  2 Ge 2.27
Dy 0.2500 0.8836 0.1164  6 S 2.67-2.86
Ge 0.7352 0.6195 0.7828  4 S 2.20-2.27
S 0.3386 0.1966 0.0300  1 Ge 2.25
S 0.9449 0.7066 0.5638  2 Ge 2.27
Ge 0.2352 0.7828 0.6195  4 S 2.20-2.27
S 0.5551 0.4362 0.2934  2 Ge 2.27
Dy 0.7500 0.1164 0.8836  6 S 2.67-2.86
Ge 0.2648 0.3805 0.2172  4 S 2.20-2.27
S 0.8929 0.3901 0.8758  1 Ge 2.20
S 0.1071 0.6099 0.1242  1 Ge 2.20
Ge 0.7648 0.2172 0.3805  4 S 2.20-2.27
S 0.0551 0.2934 0.4362  2 Ge 2.27
S 0.6614 0.8034 0.9700  1 Ge 2.25
S 0.8386 0.0300 0.1966  1 Ge 2.25
S 0.6071 0.1242 0.6099  1 Ge 2.20

Space group ... C2/c, No. 15
Raw total energy ... -4.924 eV/atom
Calculated density ... 3.65 g cm⁻³
Total moment ... 0.00 μB/f.u.
Formation energy from raw total energies ... -873 meV per atom